Entry 1:
# YTmPd PBE-GGA relaxed
# polymorph energy (0 for the lowest one) = 0.006 eV/atom
# volume = 26.71 Å³/atom
# energy relative to the elements = -565 meV per atom
# ρ = 7.55 g/cm³
data_YTmPd
_chemical_formula_sum 'Y4 Tm4 Pd4'
_symmetry_space_group_name_H-M 'P 1 21/c 1'
_symmetry_Int_Tables_number 14
_cell_length_a 6.464
_cell_length_b 7.221
_cell_length_c 6.904
_cell_angle_alpha 90.00
_cell_angle_beta 95.90
_cell_angle_gamma 90.00
loop_
_symmetry_equiv_pos_as_xyz
'x,y,z'
'-x,-y,-z'
'-x,y+1/2,-z+1/2'
'x,-y+1/2,z+1/2'
loop_
_atom_site_label
_atom_site_fract_x
_atom_site_fract_y
_atom_site_fract_z
_atom_site_occupancy
Y1 0.081 0.239 0.003 1
Tm1 0.402 0.610 0.230 1
Pd1 0.211 0.552 0.794 1

***

Entry 2:
# YTmPd4 PBE-GGA relaxed
# polymorph energy (0 for the lowest one) = 0.193 eV/atom
# volume = 21.68 Å³/atom
# energy relative to the elements = -617 meV per atom
# ρ = 8.73 g/cm³
data_YTmPd4
_chemical_formula_sum 'Y1 Tm1 Pd4'
_symmetry_space_group_name_H-M 'P 4/m m m'
_symmetry_Int_Tables_number 123
_symmetry_space_group_name_Hall '-P 4 2'
_cell_length_a 3.933
_cell_length_b 3.933
_cell_length_c 8.407
_cell_angle_alpha 90.00
_cell_angle_beta 90.00
_cell_angle_gamma 90.00
loop_
_atom_site_label
_atom_site_fract_x
_atom_site_fract_y
_atom_site_fract_z
_atom_site_occupancy
Y1 0.000 0.000 0.000 1
Tm1 0.500 0.500 0.500 1
Pd1 0.000 0.500 0.255 1

***

Entry 3:
# YTmPd PBE-GGA relaxed
# polymorph energy (0 for the lowest one) = 0.000 eV/atom
# volume = 25.21 Å³/atom
# energy relative to the elements = -571 meV per atom
# ρ = 8.00 g/cm³
data_YTmPd
_chemical_formula_sum 'Y2 Tm2 Pd2'
_symmetry_space_group_name_H-M 'I 4 m m'
_symmetry_Int_Tables_number 107
_symmetry_space_group_name_Hall 'I 4 -2'
_cell_length_a 3.525
_cell_length_b 3.525
_cell_length_c 12.174
_cell_angle_alpha 90.00
_cell_angle_beta 90.00
_cell_angle_gamma 90.00
loop_
_atom_site_label
_atom_site_fract_x
_atom_site_fract_y
_atom_site_fract_z
_atom_site_occupancy
Y1 0.000 0.000 0.000 1
Tm1 0.000 0.000 0.724 1
Pd1 0.000 0.000 0.354 1

***

Entry 4:
# YTm5Pd2 PBE-GGA relaxed
# volume = 26.79 Å³/atom
# energy relative to the elements = -394 meV per atom
# ρ = 8.88 g/cm³
data_YTm5Pd2
_chemical_formula_sum 'Y4 Tm20 Pd8'
_symmetry_space_group_name_H-M 'C m c m'
_symmetry_Int_Tables_number 63
_symmetry_space_group_name_Hall '-C 2c 2'
_cell_length_a 3.761
_cell_length_b 12.871
_cell_length_c 17.707
_cell_angle_alpha 90.00
_cell_angle_beta 90.00
_cell_angle_gamma 90.00
loop_
_atom_site_label
_atom_site_fract_x
_atom_site_fract_y
_atom_site_fract_z
_atom_site_occupancy
Y1 0.000 0.159 0.250 1
Tm1 0.000 0.104 0.750 1
Tm2 0.000 0.157 0.045 1
Tm3 0.000 0.449 0.099 1
Pd1 0.000 0.235 0.628 1

***

Entry 5:
# Y2Tm3Pd3 PBE-GGA relaxed
# volume = 23.54 Å³/atom
# energy relative to the elements = -652 meV per atom
# ρ = 8.85 g/cm³
data_Y2Tm3Pd3
_chemical_formula_sum 'Y4 Tm6 Pd6'
_symmetry_space_group_name_H-M 'I m m m'
_symmetry_Int_Tables_number 71
_symmetry_space_group_name_Hall '-I 2 2'
_cell_length_a 3.539
_cell_length_b 5.104
_cell_length_c 20.856
_cell_angle_alpha 90.00
_cell_angle_beta 90.00
_cell_angle_gamma 90.00
loop_
_atom_site_label
_atom_site_fract_x
_atom_site_fract_y
_atom_site_fract_z
_atom_site_occupancy
Y1 0.000 0.000 0.225 1
Tm1 0.000 0.000 0.000 1
Tm2 0.000 0.500 0.115 1
Pd1 0.000 0.000 0.500 1
Pd2 0.000 0.500 0.388 1

***

Entry 6:
# YTm2Pd3 PBE-GGA relaxed
# polymorph energy (0 for the lowest one) = 0.000 eV/atom
# volume = 21.06 Å³/atom
# energy relative to the elements = -920 meV per atom
# ρ = 9.81 g/cm³
data_YTm2Pd3
_chemical_formula_sum 'Y2 Tm4 Pd6'
_symmetry_space_group_name_H-M 'P m m n'
_symmetry_Int_Tables_number 59
_cell_length_a 4.963
_cell_length_b 14.897
_cell_length_c 3.418
_cell_angle_alpha 90.00
_cell_angle_beta 90.00
_cell_angle_gamma 90.00
loop_
_symmetry_equiv_pos_as_xyz
'x,y,z'
'-x,-y,-z'
'-x+1/2,-y+1/2,z'
'x+1/2,y+1/2,-z'
'x+1/2,-y,-z'
'-x+1/2,y,z'
'-x,y+1/2,-z'
'x,-y+1/2,z'
loop_
_atom_site_label
_atom_site_fract_x
_atom_site_fract_y
_atom_site_fract_z
_atom_site_occupancy
Y1 0.250 0.250 0.001 1
Tm1 0.250 0.583 0.000 1
Pd1 0.250 0.079 0.500 1
Pd2 0.250 0.750 0.500 1

***

Entry 7:
# Y2Tm3Pd4 PBE-GGA relaxed
# polymorph energy (0 for the lowest one) = 0.000 eV/atom
# volume = 23.10 Å³/atom
# energy relative to the elements = -843 meV per atom
# ρ = 8.87 g/cm³
data_Y2Tm3Pd4
_chemical_formula_sum 'Y4 Tm6 Pd8'
_symmetry_space_group_name_H-M 'P 1 21/c 1'
_symmetry_Int_Tables_number 14
_cell_length_a 7.571
_cell_length_b 7.562
_cell_length_c 7.679
_cell_angle_alpha 90.00
_cell_angle_beta 108.96
_cell_angle_gamma 90.00
loop_
_symmetry_equiv_pos_as_xyz
'x,y,z'
'-x,-y,-z'
'-x,y+1/2,-z+1/2'
'x,-y+1/2,z+1/2'
loop_
_atom_site_label
_atom_site_fract_x
_atom_site_fract_y
_atom_site_fract_z
_atom_site_occupancy
Y1 0.194 0.177 0.079 1
Tm1 0.242 0.664 0.249 1
Tm2 0.500 0.000 0.500 1
Pd1 0.089 0.538 0.861 1
Pd2 0.498 0.133 0.870 1

***

Entry 8:
# YTmPd6 PBE-GGA relaxed
# volume = 17.42 Å³/atom
# energy relative to the elements = -874 meV per atom
# ρ = 10.68 g/cm³
data_YTmPd6
_chemical_formula_sum 'Y1 Tm1 Pd6'
_symmetry_space_group_name_H-M 'P 4/m m m'
_symmetry_Int_Tables_number 123
_symmetry_space_group_name_Hall '-P 4 2'
_cell_length_a 4.116
_cell_length_b 4.116
_cell_length_c 8.227
_cell_angle_alpha 90.00
_cell_angle_beta 90.00
_cell_angle_gamma 90.00
loop_
_atom_site_label
_atom_site_fract_x
_atom_site_fract_y
_atom_site_fract_z
_atom_site_occupancy
Y1 0.000 0.000 0.000 1
Tm1 0.000 0.000 0.500 1
Pd1 0.000 0.500 0.253 1
Pd2 0.500 0.500 0.000 1
Pd3 0.500 0.500 0.500 1